1.
Density functional theory data (PBEsol) for a relaxed Ho5Mo2O12 crystal.

Summary:
Density of states at the Fermi level ... 0.13 states/eV/atom
VASP energy ... -171.37 eV for the cell shown
Symmetry ... C2/m (12)
E_form (uncorrected) ... -3.163 eV/atom

Cell: 5.657 6.685 7.434 Å, 106.33 90.00 115.03°
Site moments in Bohr magnetons follow the coordinates.
Fractional positions:
Ho 0.305 0.611 0.640  0.00
Ho 0.695 0.389 0.360  0.00
Ho 0.315 0.630 0.179  0.03
Ho 0.685 0.370 0.821  0.03
Ho 0.000 0.000 0.500  0.01
Mo 0.218 0.000 0.000  0.34
Mo 0.782 0.000 0.000  0.34
O 0.422 0.330 0.084  0.03
O 0.908 0.330 0.084  0.03
O 0.578 0.670 0.916  0.03
O 0.092 0.670 0.916  0.03
O 0.593 0.690 0.425  0.00
O 0.098 0.690 0.425  0.00
O 0.407 0.310 0.575  0.00
O 0.902 0.310 0.575  0.00
O 0.999 0.998 0.205  0.04
O 0.001 0.002 0.795  0.04
O 0.501 0.001 0.184  0.00
O 0.499 0.999 0.816  0.00

***

2.
Density functional theory data (PBEsol) for a relaxed SrLiHg crystal.

Summary:
Density of states at the Fermi level ... 0.46 states/eV/atom
Formation enthalpy at 0 K ... -0.355 eV/atom
VASP energy ... -5.44 eV for the cell shown
Symmetry ... I4mm (107)

Cell: 3.869 3.869 5.973 Å, 108.90 108.90 90.00°
Fractional positions:
Sr 0.342 0.342 0.685
Hg 0.023 0.023 0.046
Li 0.635 0.635 0.270